CaFe2CoSn at its PBEsol-relaxed geometry. Source: Alexandria, functional meta-GGA SCAN.

Cell: 4.4332 4.4726 4.4726 Å, 90.00 90.00 90.00°
Closest atoms and distances in Å follow each position.
Fractional positions:
Ca 0.0000 0.0000 0.0000  2 Co 2.22, 4 Fe 2.24
Co 0.5000 0.0000 0.0000  2 Ca 2.22
Sn 0.5000 0.5000 0.5000  8 Fe 3.15, 4 Co 3.16
Fe 0.0000 0.0000 0.5000  2 Ca 2.24
Fe 0.0000 0.5000 0.0000  2 Ca 2.24

Results
electronic total energy = -90.09 eV per formula unit
space group = No. 123

CaGa3Co at its PBEsol-relaxed geometry. Source: Alexandria, functional meta-GGA SCAN.

Cell: 4.5118 4.5118 4.5118 Å, 90.00 90.00 90.00°
Closest atoms and distances in Å follow each position.
Fractional positions:
Ca 0.5000 0.5000 0.5000  12 Ga 3.19
Co 0.0000 0.0000 0.0000  6 Ga 2.26
Ga 0.0000 0.5000 0.0000  2 Co 2.26
Ga 0.0000 0.0000 0.5000  2 Co 2.26
Ga 0.5000 0.0000 0.0000  2 Co 2.26

Results
electronic total energy = -77.78 eV per formula unit
space group = No. 221

CaGa3Co2 at its PBEsol-relaxed geometry. Source: Alexandria, functional meta-GGA SCAN.

Cell: 5.1929 6.1156 6.1156 Å, 76.82 90.00 90.00°
Closest atoms and distances in Å follow each position.
Fractional positions:
Ca 0.2500 0.6537 0.3463  7 Ga 2.98-3.24, 4 Co 3.32
Ca 0.7500 0.3463 0.6537  7 Ga 2.98-3.24, 4 Co 3.32
Co 0.5000 0.7942 0.7942  6 Ga 2.34-2.47, 2 Co 2.60
Co 0.0000 0.7942 0.7942  6 Ga 2.34-2.47, 2 Co 2.60
Co 0.0000 0.2058 0.2058  6 Ga 2.34-2.47, 2 Co 2.60
Co 0.5000 0.2058 0.2058  6 Ga 2.34-2.47, 2 Co 2.60
Ga 0.7500 0.9175 0.4709  4 Co 2.34-2.47, 1 Ga 2.56
Ga 0.7500 0.5291 0.0825  4 Co 2.34-2.47, 1 Ga 2.56
Ga 0.2500 0.0825 0.5291  4 Co 2.34-2.47, 1 Ga 2.56
Ga 0.7500 0.9542 0.0458  4 Co 2.39, 2 Ga 2.56
Ga 0.2500 0.0458 0.9542  4 Co 2.39, 2 Ga 2.56
Ga 0.2500 0.4709 0.9175  4 Co 2.34-2.47, 1 Ga 2.56

Results
electronic total energy = -95.48 eV per formula unit
space group = No. 63

Ca3CoGe at its PBEsol-relaxed geometry. Source: Alexandria, functional meta-GGA SCAN.

Cell: 5.1155 5.1155 5.1155 Å, 90.00 90.00 90.00°
Closest atoms and distances in Å follow each position.
Fractional positions:
Ge 0.5000 0.5000 0.5000  12 Ca 3.62
Co 0.0000 0.0000 0.0000  6 Ca 2.56
Ca 0.0000 0.5000 0.0000  2 Co 2.56
Ca 0.0000 0.0000 0.5000  2 Co 2.56
Ca 0.5000 0.0000 0.0000  2 Co 2.56

Results
electronic total energy = -64.13 eV per formula unit
space group = No. 221

CaCo2GeH at its PBEsol-relaxed geometry. Source: Alexandria, functional meta-GGA SCAN.

Cell: 4.2606 4.2606 5.7211 Å, 90.00 90.00 90.00°
Closest atoms and distances in Å follow each position.
Fractional positions:
H 0.5000 0.5000 0.5000  4 Ca 3.01
Ge 0.0000 0.0000 0.0000  4 Co 2.13
Co 0.0000 0.5000 0.0000  2 Ge 2.13
Co 0.5000 0.0000 0.0000  2 Ge 2.13
Ca 0.0000 0.0000 0.5000  2 Ge 2.86, 4 H 3.01

Results
electronic total energy = -63.25 eV per formula unit
space group = No. 123

CaCoGe2O6 at its PBEsol-relaxed geometry. Source: Alexandria, functional meta-GGA SCAN.

Cell: 5.3516 6.7488 6.7488 Å, 81.67 78.99 78.99°
Closest atoms and distances in Å follow each position.
Fractional positions:
Ca 0.2500 0.3068 0.6932  6 O 2.34-2.54
Ca 0.7500 0.6932 0.3068  6 O 2.34-2.54
Co 0.7500 0.0814 0.9186  6 O 2.07-2.10
Co 0.2500 0.9186 0.0814  6 O 2.07-2.10
Ge 0.2756 0.3872 0.1821  4 O 1.73-1.82
Ge 0.2244 0.8179 0.6128  4 O 1.73-1.82
Ge 0.7244 0.6128 0.8179  4 O 1.73-1.82
Ge 0.7756 0.1821 0.3872  4 O 1.73-1.82
O 0.3676 0.2033 0.0140  1 Ge 1.74
O 0.1324 0.9860 0.7967  1 Ge 1.74
O 0.6324 0.7967 0.9860  1 Ge 1.74
O 0.8676 0.0140 0.2033  1 Ge 1.74
O 0.1538 0.6337 0.0948  1 Ge 1.73
O 0.3462 0.9052 0.3663  1 Ge 1.73
O 0.8462 0.3663 0.9052  1 Ge 1.73
O 0.6538 0.0948 0.6337  1 Ge 1.73
O 0.5210 0.3919 0.3293  2 Ge 1.80-1.82
O 0.9790 0.6707 0.6081  2 Ge 1.80-1.82
O 0.4790 0.6081 0.6707  2 Ge 1.80-1.82
O 0.0210 0.3293 0.3919  2 Ge 1.80-1.82

Results
energy relative to the elements, uncorrected = -2.0519 eV/atom
electronic total energy = -123.05 eV per formula unit
space group = No. 15